The following is a PBE calculation of a geometry-optimized NpTaO6 structure, from Alexandria via LeMat-Bulk.

The structure in extended XYZ format:
```
8
Lattice="5.124 0.698 2.296 1.408 4.976 2.296 0.544 0.472 5.610" Properties=species:S:1:pos:R:3 pbc="T T T"
Np 0.000 0.000 0.000
Ta 3.538 3.073 5.101
O 5.035 4.374 4.972
O 2.548 4.074 3.699
O 2.041 1.773 5.230
O 2.686 4.194 6.503
O 4.528 2.073 6.503
O 4.390 1.953 3.699
```

Results
final energy = -9.408 eV per atom
formation energy from raw total energies = -2590 meV per atom
magnetization = 0.000 μB/atom
space-group type = C2/m (12)